No. 1
This record from Alexandria describes a relaxed structure of LiEuGdZn. The functional is GGA-PBE.

Lattice parameters (Å, degrees): 7.4670 7.4670 7.4670 90.00 90.00 90.00
Closest atoms and distances in Å follow each position.
Space group F-43m (No. 216)
Unique sites:
Li: 0.0000 0.0000 0.0000 [4 per cell]  4 Gd 3.23, 4 Eu 3.23
Eu: 0.2500 0.2500 0.2500 [4 per cell]  4 Li 3.23, 4 Zn 3.23
Gd: 0.2500 0.2500 0.7500 [4 per cell]  4 Li 3.23, 4 Zn 3.23
Zn: 0.0000 0.0000 0.5000 [4 per cell]  4 Gd 3.23, 4 Eu 3.23

No. 2
This record from Alexandria describes a relaxed structure of EuGd2Lu. The functional is GGA-PBE.

Lattice parameters (Å, degrees): 3.6209 3.6209 10.1925 90.00 90.00 90.00
Closest atoms and distances in Å follow each position.
Space group P4/mmm (No. 123)
Unique sites:
Eu: 0.0000 0.0000 0.0000 [1 per cell]  4 Eu 3.62, 8 Gd 3.76
Gd: 0.5000 0.5000 0.2708 [2 per cell]  4 Lu 3.47, 4 Gd 3.62, 4 Eu 3.76
Lu: 0.0000 0.0000 0.5000 [1 per cell]  8 Gd 3.47, 4 Lu 3.62

Offset from the most stable computed form   0.0000 eV per atom

No. 3
This record from Alexandria describes a relaxed structure of EuGd2Lu. The functional is GGA-PBE.

Lattice parameters (Å, degrees): 8.1045 8.1045 8.1045 90.00 90.00 90.00
Closest atoms and distances in Å follow each position.
Space group Fm-3m (No. 225)
Unique sites:
Eu: 0.0000 0.0000 0.0000 [4 per cell]  8 Gd 3.51
Gd: 0.2500 0.2500 0.2500 [8 per cell]  4 Eu 3.51, 4 Lu 3.51
Lu: 0.0000 0.0000 0.5000 [4 per cell]  8 Gd 3.51

Offset from the most stable computed form   0.0765 eV per atom

No. 4
This record from Alexandria describes a relaxed structure of EuGdLu. The functional is GGA-PBE.

Lattice parameters (Å, degrees): 3.6530 3.6530 15.1311 90.00 90.00 90.00
Closest atoms and distances in Å follow each position.
Space group I4mm (No. 107)
Unique sites:
Eu: 0.0000 0.0000 0.0000 [2 per cell]  4 Lu 3.64, 4 Eu 3.65, 4 Gd 3.77
Gd: 0.0000 0.0000 0.3183 [2 per cell]  4 Lu 3.43, 4 Gd 3.65, 4 Eu 3.77
Lu: 0.0000 0.0000 0.6694 [2 per cell]  4 Gd 3.43, 4 Eu 3.64, 4 Lu 3.65

Offset from the most stable computed form   0.0000 eV per atom

No. 5
This record from Alexandria describes a relaxed structure of EuGd2Lu. The functional is GGA-PBE.

Lattice parameters (Å, degrees): 5.0787 5.0787 5.0909 90.00 90.00 90.00
Closest atoms and distances in Å follow each position.
Space group P4/mmm (No. 123)
Unique sites:
Eu: 0.0000 0.0000 0.0000 [1 per cell]  4 Lu 3.59, 8 Gd 3.60
Gd: 0.0000 0.5000 0.5000 [2 per cell]  4 Gd 3.59, 4 Eu 3.60, 4 Lu 3.60
Lu: 0.5000 0.5000 0.0000 [1 per cell]  4 Eu 3.59, 8 Gd 3.60

Offset from the most stable computed form   0.0377 eV per atom

No. 6
This record from Alexandria describes a relaxed structure of EuGd2Lu. The functional is GGA-PBE.

Lattice parameters (Å, degrees): 5.7916 5.7916 3.9579 90.00 90.00 90.00
Closest atoms and distances in Å follow each position.
Space group P4/mmm (No. 123)
Unique sites:
Eu: 0.0000 0.0000 0.0000 [1 per cell]  8 Gd 3.51
Gd: 0.0000 0.5000 0.5000 [2 per cell]  4 Eu 3.51, 4 Lu 3.51
Lu: 0.5000 0.5000 0.0000 [1 per cell]  8 Gd 3.51

Offset from the most stable computed form   0.0805 eV per atom

No. 7
This record from Alexandria describes a relaxed structure of EuGdLu. The functional is GGA-PBE.

Lattice parameters (Å, degrees): 3.6104 3.6104 8.9149 90.00 90.00 120.00
Closest atoms and distances in Å follow each position.
Space group P3m1 (No. 156)
Unique sites:
Eu: 0.0000 0.0000 0.0000 [1 per cell]  6 Eu 3.61, 3 Lu 3.67, 3 Gd 3.77
Gd: 0.6667 0.3333 0.6476 [1 per cell]  3 Lu 3.45, 6 Gd 3.61, 3 Eu 3.77
Lu: 0.3333 0.6667 0.3392 [1 per cell]  3 Gd 3.45, 6 Lu 3.61, 3 Eu 3.67

Offset from the most stable computed form   0.0153 eV per atom

No. 8
This record from Alexandria describes a relaxed structure of EuGdLuMg. The functional is GGA-PBE.

Lattice parameters (Å, degrees): 7.8851 7.8851 7.8851 90.00 90.00 90.00
Closest atoms and distances in Å follow each position.
Space group F-43m (No. 216)
Unique sites:
Eu: 0.0000 0.0000 0.0000 [4 per cell]  4 Mg 3.41, 4 Lu 3.41
Gd: 0.0000 0.0000 0.5000 [4 per cell]  4 Mg 3.41, 4 Lu 3.41
Lu: 0.2500 0.2500 0.2500 [4 per cell]  4 Gd 3.41, 4 Eu 3.41
Mg: 0.2500 0.2500 0.7500 [4 per cell]  4 Gd 3.41, 4 Eu 3.41

No. 9
This record from Alexandria describes a relaxed structure of EuGdLuSc. The functional is GGA-PBE.

Lattice parameters (Å, degrees): 7.8907 7.8907 7.8907 90.00 90.00 90.00
Closest atoms and distances in Å follow each position.
Space group F-43m (No. 216)
Unique sites:
Eu: 0.0000 0.0000 0.0000 [4 per cell]  4 Sc 3.42, 4 Lu 3.42
Gd: 0.0000 0.0000 0.5000 [4 per cell]  4 Lu 3.42, 4 Sc 3.42
Lu: 0.2500 0.2500 0.7500 [4 per cell]  4 Eu 3.42, 4 Gd 3.42
Sc: 0.2500 0.2500 0.2500 [4 per cell]  4 Gd 3.42, 4 Eu 3.42

No. 10
This record from Alexandria describes a relaxed structure of SmEuGdLu. The functional is GGA-PBE.

Lattice parameters (Å, degrees): 8.1533 8.1533 8.1533 90.00 90.00 90.00
Closest atoms and distances in Å follow each position.
Space group F-43m (No. 216)
Unique sites:
Sm: 0.0000 0.0000 0.0000 [4 per cell]  4 Lu 3.53, 4 Eu 3.53
Eu: 0.2500 0.2500 0.7500 [4 per cell]  4 Gd 3.53, 4 Sm 3.53
Gd: 0.0000 0.0000 0.5000 [4 per cell]  4 Eu 3.53, 4 Lu 3.53
Lu: 0.2500 0.2500 0.2500 [4 per cell]  4 Gd 3.53, 4 Sm 3.53

No. 11
This record from Alexandria describes a relaxed structure of EuGdLuTl. The functional is GGA-PBE.

Lattice parameters (Å, degrees): 7.8462 7.8462 7.8462 90.00 90.00 90.00
Closest atoms and distances in Å follow each position.
Space group F-43m (No. 216)
Unique sites:
Eu: 0.0000 0.0000 0.0000 [4 per cell]  4 Lu 3.40, 4 Tl 3.40
Gd: 0.0000 0.0000 0.5000 [4 per cell]  4 Tl 3.40, 4 Lu 3.40
Lu: 0.2500 0.2500 0.7500 [4 per cell]  4 Gd 3.40, 4 Eu 3.40
Tl: 0.2500 0.2500 0.2500 [4 per cell]  4 Eu 3.40, 4 Gd 3.40

No. 12
This record from Alexandria describes a relaxed structure of EuGdYLu. The functional is GGA-PBE.

Lattice parameters (Å, degrees): 8.0951 8.0951 8.0951 90.00 90.00 90.00
Closest atoms and distances in Å follow each position.
Space group F-43m (No. 216)
Unique sites:
Eu: 0.0000 0.0000 0.0000 [4 per cell]  4 Lu 3.51, 4 Y 3.51
Gd: 0.0000 0.0000 0.5000 [4 per cell]  4 Y 3.51, 4 Lu 3.51
Y: 0.2500 0.2500 0.7500 [4 per cell]  4 Gd 3.51, 4 Eu 3.51
Lu: 0.2500 0.2500 0.2500 [4 per cell]  4 Gd 3.51, 4 Eu 3.51

Energy relative to the elements: -7.3 6.0 13.4 6.1 9.6 13.7 7.5 5.5 14.6 13.6 -5.0 13.9 (kJ per mole of atoms)